No. 1
# Ca3CoBr | Alexandria via LeMat-Bulk | PBE | optimized geometry
data_Ca3CoBr
_chemical_formula_sum 'Ca3 Co1 Br1'
_symmetry_space_group_name_H-M 'P m -3 m'
_symmetry_Int_Tables_number 221
_symmetry_space_group_name_Hall '-P 4 2 3'
_cell_length_a 5.390
_cell_length_b 5.390
_cell_length_c 5.390
_cell_angle_alpha 90.00
_cell_angle_beta 90.00
_cell_angle_gamma 90.00
loop_
_atom_site_label
_atom_site_fract_x
_atom_site_fract_y
_atom_site_fract_z
_atom_site_occupancy
Ca1 0.000 0.000 0.500 1
Co1 0.000 0.000 0.000 1
Br1 0.500 0.500 0.500 1
# **V**: 31.31 Å³ per atom
# **ΔE_f (raw)**: -17 kJ per mole of atoms
# **D(E_F)**: 0.966 states/eV/atom
# **Total magnetic moment**: 0.0 μB/f.u.

***

No. 2
# LaScTeN2 | Alexandria via LeMat-Bulk | PBE | optimized geometry
data_LaScTeN2
_chemical_formula_sum 'La1 Sc1 Te1 N2'
_symmetry_space_group_name_H-M 'P 4/m m m'
_symmetry_Int_Tables_number 123
_symmetry_space_group_name_Hall '-P 4 2'
_cell_length_a 4.495
_cell_length_b 4.495
_cell_length_c 5.127
_cell_angle_alpha 90.00
_cell_angle_beta 90.00
_cell_angle_gamma 90.00
loop_
_atom_site_label
_atom_site_fract_x
_atom_site_fract_y
_atom_site_fract_z
_atom_site_occupancy
La1 0.000 0.000 0.000 1
Sc1 0.500 0.500 0.000 1
Te1 0.500 0.500 0.500 1
N1 0.000 0.500 0.500 1
# **V**: 20.71 Å³ per atom
# **ΔE_f (raw)**: 99 kJ per mole of atoms
# **D(E_F)**: 0.813 states/eV/atom
# **Total magnetic moment**: 0.0 μB/f.u.

***

No. 3
# LiUHg2 | Alexandria via LeMat-Bulk | PBE | optimized geometry
data_LiUHg2
_chemical_formula_sum 'Li1 U1 Hg2'
_symmetry_space_group_name_H-M 'P 4/m m m'
_symmetry_Int_Tables_number 123
_symmetry_space_group_name_Hall '-P 4 2'
_cell_length_a 3.109
_cell_length_b 3.109
_cell_length_c 8.529
_cell_angle_alpha 90.00
_cell_angle_beta 90.00
_cell_angle_gamma 90.00
loop_
_atom_site_label
_atom_site_fract_x
_atom_site_fract_y
_atom_site_fract_z
_atom_site_occupancy
Li1 0.000 0.000 0.000 1
U1 0.000 0.000 0.500 1
Hg1 0.500 0.500 0.211 1
# **V**: 20.61 Å³ per atom
# **Energy relative to the elements**: -0.0305 eV per atom
# **D(E_F)**: 1.119 states/eV/atom
# **Total magnetic moment**: 3.1 μB/f.u.

***

No. 4
# Mo2WAu | Alexandria via LeMat-Bulk | PBE | optimized geometry
data_Mo2WAu
_chemical_formula_sum 'Mo8 W4 Au4'
_symmetry_space_group_name_H-M 'F m -3 m'
_symmetry_Int_Tables_number 225
_symmetry_space_group_name_Hall '-F 4 2 3'
_cell_length_a 6.411
_cell_length_b 6.411
_cell_length_c 6.411
_cell_angle_alpha 90.00
_cell_angle_beta 90.00
_cell_angle_gamma 90.00
loop_
_atom_site_label
_atom_site_fract_x
_atom_site_fract_y
_atom_site_fract_z
_atom_site_occupancy
Mo1 0.250 0.250 0.250 1
W1 0.000 0.000 0.000 1
Au1 0.000 0.000 0.500 1
# **V**: 16.47 Å³ per atom
# **Energy relative to the elements**: 0.4253 eV per atom
# **D(E_F)**: 1.540 states/eV/atom
# **Total magnetic moment**: 0.0 μB/f.u.

***

No. 5
# Rb3BaCa | Alexandria via LeMat-Bulk | PBE | optimized geometry
data_Rb3BaCa
_chemical_formula_sum 'Rb3 Ba1 Ca1'
_symmetry_space_group_name_H-M 'P m -3 m'
_symmetry_Int_Tables_number 221
_symmetry_space_group_name_Hall '-P 4 2 3'
_cell_length_a 8.150
_cell_length_b 8.150
_cell_length_c 8.150
_cell_angle_alpha 90.00
_cell_angle_beta 90.00
_cell_angle_gamma 90.00
loop_
_atom_site_label
_atom_site_fract_x
_atom_site_fract_y
_atom_site_fract_z
_atom_site_occupancy
Rb1 0.000 0.000 0.500 1
Ba1 0.000 0.000 0.000 1
Ca1 0.500 0.500 0.500 1
# **V**: 108.27 Å³ per atom
# **Energy relative to the elements**: 0.6672 eV per atom
# **D(E_F)**: 1.374 states/eV/atom
# **Total magnetic moment**: 0.9 μB/f.u.

***

No. 6
# KZr2Se4 | Alexandria via LeMat-Bulk | PBE | optimized geometry
data_KZr2Se4
_chemical_formula_sum 'K4 Zr8 Se16'
_symmetry_space_group_name_H-M 'C m c m'
_symmetry_Int_Tables_number 63
_symmetry_space_group_name_Hall '-C 2c 2'
_cell_length_a 3.968
_cell_length_b 13.150
_cell_length_c 13.750
_cell_angle_alpha 90.00
_cell_angle_beta 90.00
_cell_angle_gamma 90.00
loop_
_atom_site_label
_atom_site_fract_x
_atom_site_fract_y
_atom_site_fract_z
_atom_site_occupancy
K1 0.000 0.109 0.250 1
Zr1 0.000 0.370 0.064 1
Se1 0.000 0.000 0.000 1
Se2 0.000 0.267 0.609 1
Se3 0.000 0.419 0.250 1
# **V**: 25.62 Å³ per atom
# **ΔE_f (raw)**: -126 kJ per mole of atoms
# **D(E_F)**: 0.284 states/eV/atom
# **Total magnetic moment**: 0.0 μB/f.u.

***

No. 7
# NdAuI | Alexandria via LeMat-Bulk | PBE | optimized geometry
data_NdAuI
_chemical_formula_sum 'Nd4 Au4 I4'
_symmetry_space_group_name_H-M 'C 1 2/m 1'
_symmetry_Int_Tables_number 12
_symmetry_space_group_name_Hall '-C 2y'
_cell_length_a 15.084
_cell_length_b 3.923
_cell_length_c 6.830
_cell_angle_alpha 90.00
_cell_angle_beta 112.28
_cell_angle_gamma 90.00
loop_
_atom_site_label
_atom_site_fract_x
_atom_site_fract_y
_atom_site_fract_z
_atom_site_occupancy
Nd1 0.142 0.000 0.051 1
Au1 0.215 0.000 0.677 1
I1 0.033 0.500 0.280 1
# **V**: 31.17 Å³ per atom
# **ΔE_f (raw)**: -70 kJ per mole of atoms
# **D(E_F)**: 0.972 states/eV/atom
# **Total magnetic moment**: 0.0 μB/f.u.

***

No. 8
# Na4Tb3BiSe8 | Alexandria via LeMat-Bulk | PBE | optimized geometry
data_Na4Tb3BiSe8
_chemical_formula_sum 'Na12 Tb9 Bi3 Se24'
_symmetry_space_group_name_H-M 'R -3 m'
_symmetry_Int_Tables_number 166
_symmetry_space_group_name_Hall '-R 3 2"'
_cell_length_a 8.3741
_cell_length_b 8.3741
_cell_length_c 21.0782
_cell_angle_alpha 90.00
_cell_angle_beta 90.00
_cell_angle_gamma 120.00
loop_
_atom_site_label
_atom_site_fract_x
_atom_site_fract_y
_atom_site_fract_z
_atom_site_occupancy
Na1 0.0000 0.0000 0.0000 1
Na2 0.0000 0.5000 0.0000 1
Tb1 0.0000 0.5000 0.5000 1
Bi1 0.0000 0.0000 0.5000 1
Se1 0.0000 0.0000 0.2430 1
Se2 0.0051 0.5025 0.7558 1
# **V**: 26.67 Å³ per atom
# **ΔE_f (raw)**: -141 kJ per mole of atoms
# **D(E_F)**: 0.000 states/eV/atom
# **Total magnetic moment**: 0.0 μB/f.u.

***

No. 9
# Y3Pu2PaAs6 | Alexandria via LeMat-Bulk | PBE | optimized geometry
data_Y3Pu2PaAs6
_chemical_formula_sum 'Y6 Pu4 Pa2 As12'
_symmetry_space_group_name_H-M 'C 1 2/m 1'
_symmetry_Int_Tables_number 12
_symmetry_space_group_name_Hall '-C 2y'
_cell_length_a 7.155
_cell_length_b 12.388
_cell_length_c 7.140
_cell_angle_alpha 90.00
_cell_angle_beta 109.52
_cell_angle_gamma 90.00
loop_
_atom_site_label
_atom_site_fract_x
_atom_site_fract_y
_atom_site_fract_z
_atom_site_occupancy
Y1 0.000 0.000 0.000 1
Y2 0.000 0.332 0.000 1
Pu1 0.000 0.166 0.500 1
Pa1 0.000 0.500 0.500 1
As1 0.246 0.500 0.252 1
As2 0.247 0.335 0.748 1
# **V**: 24.86 Å³ per atom
# **Energy relative to the elements**: -1.3102 eV per atom
# **D(E_F)**: 2.113 states/eV/atom
# **Total magnetic moment**: 11.2 μB/f.u.

***

No. 10
# LiCaSm | Alexandria via LeMat-Bulk | PBE | optimized geometry
data_LiCaSm
_chemical_formula_sum 'Li1 Ca1 Sm1'
_symmetry_space_group_name_H-M 'P 3 m 1'
_symmetry_Int_Tables_number 156
_symmetry_space_group_name_Hall 'P 3 -2"'
_cell_length_a 3.6274
_cell_length_b 3.6274
_cell_length_c 8.5852
_cell_angle_alpha 90.00
_cell_angle_beta 90.00
_cell_angle_gamma 120.00
loop_
_atom_site_label
_atom_site_fract_x
_atom_site_fract_y
_atom_site_fract_z
_atom_site_occupancy
Li1 0.0000 0.0000 0.0000 1
Ca1 0.6667 0.3333 0.3291 1
Sm1 0.3333 0.6667 0.6883 1
# **V**: 32.61 Å³ per atom
# **Energy relative to the elements**: 0.1405 eV per atom
# **D(E_F)**: 1.103 states/eV/atom
# **Total magnetic moment**: 0.0 μB/f.u.

***

No. 11
# Tl2GeAu2 | Alexandria via LeMat-Bulk | PBE | optimized geometry
data_Tl2GeAu2
_chemical_formula_sum 'Tl4 Ge2 Au4'
_symmetry_space_group_name_H-M 'P 4/m b m'
_symmetry_Int_Tables_number 127
_symmetry_space_group_name_Hall '-P 4 2ab'
_cell_length_a 8.224
_cell_length_b 8.224
_cell_length_c 3.583
_cell_angle_alpha 90.00
_cell_angle_beta 90.00
_cell_angle_gamma 90.00
loop_
_atom_site_label
_atom_site_fract_x
_atom_site_fract_y
_atom_site_fract_z
_atom_site_occupancy
Tl1 0.176 0.324 0.000 1
Ge1 0.000 0.000 0.000 1
Au1 0.122 0.622 0.500 1
# **V**: 24.23 Å³ per atom
# **Energy relative to the elements**: 0.2695 eV per atom
# **D(E_F)**: 0.517 states/eV/atom
# **Total magnetic moment**: 0.0 μB/f.u.

***

No. 12
# CaTa2Pb | Alexandria via LeMat-Bulk | PBE | optimized geometry
data_CaTa2Pb
_chemical_formula_sum 'Ca2 Ta4 Pb2'
_symmetry_space_group_name_H-M 'C m m m'
_symmetry_Int_Tables_number 65
_symmetry_space_group_name_Hall '-C 2 2'
_cell_length_a 3.563
_cell_length_b 4.950
_cell_length_c 10.315
_cell_angle_alpha 90.00
_cell_angle_beta 90.00
_cell_angle_gamma 90.00
loop_
_atom_site_label
_atom_site_fract_x
_atom_site_fract_y
_atom_site_fract_z
_atom_site_occupancy
Ca1 0.000 0.000 0.000 1
Ta1 0.000 0.500 0.267 1
Pb1 0.000 0.000 0.500 1
# **V**: 22.74 Å³ per atom
# **Energy relative to the elements**: 0.7303 eV per atom
# **D(E_F)**: 1.270 states/eV/atom
# **Total magnetic moment**: 0.0 μB/f.u.

***

No. 13
# KLaBr2 | Alexandria via LeMat-Bulk | PBE | optimized geometry
data_KLaBr2
_chemical_formula_sum 'K3 La3 Br6'
_symmetry_space_group_name_H-M 'R -3 m'
_symmetry_Int_Tables_number 166
_symmetry_space_group_name_Hall '-R 3 2"'
_cell_length_a 4.0121
_cell_length_b 4.0121
_cell_length_c 26.7927
_cell_angle_alpha 90.00
_cell_angle_beta 90.00
_cell_angle_gamma 120.00
loop_
_atom_site_label
_atom_site_fract_x
_atom_site_fract_y
_atom_site_fract_z
_atom_site_occupancy
K1 0.0000 0.0000 0.0000 1
La1 0.0000 0.0000 0.5000 1
Br1 0.0000 0.0000 0.2496 1
# **V**: 31.13 Å³ per atom
# **ΔE_f (raw)**: -138 kJ per mole of atoms
# **D(E_F)**: 0.549 states/eV/atom
# **Total magnetic moment**: 0.0 μB/f.u.

***

No. 14
# ErTmGePd | Alexandria via LeMat-Bulk | PBE | optimized geometry
data_ErTmGePd
_chemical_formula_sum 'Er2 Tm2 Ge2 Pd2'
_symmetry_space_group_name_H-M 'A m m 2'
_symmetry_Int_Tables_number 38
_symmetry_space_group_name_Hall 'A 2 -2'
_cell_length_a 4.297
_cell_length_b 3.837
_cell_length_c 10.745
_cell_angle_alpha 90.00
_cell_angle_beta 90.00
_cell_angle_gamma 90.00
loop_
_atom_site_label
_atom_site_fract_x
_atom_site_fract_y
_atom_site_fract_z
_atom_site_occupancy
Er1 0.000 0.000 0.000 1
Tm1 0.500 0.000 0.280 1
Ge1 0.000 0.000 0.723 1
Pd1 0.500 0.000 0.560 1
# **V**: 22.15 Å³ per atom
# **Energy relative to the elements**: -0.9040 eV per atom
# **D(E_F)**: 0.378 states/eV/atom
# **Total magnetic moment**: 0.0 μB/f.u.

***

No. 15
# InAg2Ir | Alexandria via LeMat-Bulk | PBE | optimized geometry
data_InAg2Ir
_chemical_formula_sum 'In3 Ag6 Ir3'
_symmetry_space_group_name_H-M 'R 3 m'
_symmetry_Int_Tables_number 160
_symmetry_space_group_name_Hall 'R 3 -2"'
_cell_length_a 2.9919
_cell_length_b 2.9919
_cell_length_c 27.8515
_cell_angle_alpha 90.00
_cell_angle_beta 90.00
_cell_angle_gamma 120.00
loop_
_atom_site_label
_atom_site_fract_x
_atom_site_fract_y
_atom_site_fract_z
_atom_site_occupancy
In1 0.0000 0.0000 0.0000 1
Ag1 0.0000 0.0000 0.5072 1
Ag2 0.0000 0.0000 0.7558 1
Ir1 0.0000 0.0000 0.2563 1
# **V**: 17.99 Å³ per atom
# **Energy relative to the elements**: 0.2174 eV per atom
# **D(E_F)**: 0.791 states/eV/atom
# **Total magnetic moment**: 0.1 μB/f.u.

***

No. 16
# AcBiB2O6 | Alexandria via LeMat-Bulk | PBE | optimized geometry
data_AcBiB2O6
_chemical_formula_sum 'Ac4 Bi4 B8 O24'
_symmetry_space_group_name_H-M 'C 1 2/c 1'
_symmetry_Int_Tables_number 15
_symmetry_space_group_name_Hall '-C 2yc'
_cell_length_a 8.570
_cell_length_b 10.009
_cell_length_c 6.659
_cell_angle_alpha 90.00
_cell_angle_beta 108.99
_cell_angle_gamma 90.00
loop_
_atom_site_label
_atom_site_fract_x
_atom_site_fract_y
_atom_site_fract_z
_atom_site_occupancy
Ac1 0.000 0.150 0.250 1
Bi1 0.000 0.401 0.750 1
B1 0.240 0.121 0.724 1
O1 0.106 0.373 0.122 1
O2 0.155 0.239 0.652 1
O3 0.183 0.003 0.619 1
# **V**: 13.50 Å³ per atom
# **ΔE_f (raw)**: -237 kJ per mole of atoms
# **D(E_F)**: 0.000 states/eV/atom
# **Total magnetic moment**: 0.0 μB/f.u.

***

No. 17
# Th4Ge8Ir | Alexandria via LeMat-Bulk | PBE | optimized geometry
data_Th4Ge8Ir
_chemical_formula_sum 'Th4 Ge8 Ir1'
_symmetry_space_group_name_H-M 'P m m 2'
_symmetry_Int_Tables_number 25
_symmetry_space_group_name_Hall 'P 2 -2'
_cell_length_a 4.152
_cell_length_b 4.206
_cell_length_c 16.908
_cell_angle_alpha 90.00
_cell_angle_beta 90.00
_cell_angle_gamma 90.00
loop_
_atom_site_label
_atom_site_fract_x
_atom_site_fract_y
_atom_site_fract_z
_atom_site_occupancy
Th1 0.000 0.000 0.000 1
Th2 0.000 0.500 0.493 1
Th3 0.500 0.000 0.783 1
Th4 0.500 0.500 0.280 1
Ge1 0.000 0.000 0.336 1
Ge2 0.000 0.000 0.626 1
Ge3 0.000 0.500 0.140 1
Ge4 0.000 0.500 0.851 1
Ge5 0.500 0.000 0.140 1
Ge6 0.500 0.000 0.433 1
Ge7 0.500 0.500 0.625 1
Ge8 0.500 0.500 0.942 1
Ir1 0.000 0.500 0.707 1
# **V**: 22.71 Å³ per atom
# **Energy relative to the elements**: -0.6538 eV per atom
# **D(E_F)**: 0.316 states/eV/atom
# **Total magnetic moment**: 0.0 μB/f.u.

***

No. 18
# B2TePd2 | Alexandria via LeMat-Bulk | PBE | optimized geometry
data_B2TePd2
_chemical_formula_sum 'B4 Te2 Pd4'
_symmetry_space_group_name_H-M 'P 4/m b m'
_symmetry_Int_Tables_number 127
_symmetry_space_group_name_Hall '-P 4 2ab'
_cell_length_a 6.927
_cell_length_b 6.927
_cell_length_c 3.140
_cell_angle_alpha 90.00
_cell_angle_beta 90.00
_cell_angle_gamma 90.00
loop_
_atom_site_label
_atom_site_fract_x
_atom_site_fract_y
_atom_site_fract_z
_atom_site_occupancy
B1 0.083 0.417 0.000 1
Te1 0.000 0.000 0.000 1
Pd1 0.234 0.266 0.500 1
# **V**: 15.07 Å³ per atom
# **ΔE_f (raw)**: 41 kJ per mole of atoms
# **D(E_F)**: 0.220 states/eV/atom
# **Total magnetic moment**: 0.0 μB/f.u.

***

No. 19
# ScCdTc3 | Alexandria via LeMat-Bulk | PBE | optimized geometry
data_ScCdTc3
_chemical_formula_sum 'Sc1 Cd1 Tc3'
_symmetry_space_group_name_H-M 'P m -3 m'
_symmetry_Int_Tables_number 221
_symmetry_space_group_name_Hall '-P 4 2 3'
_cell_length_a 4.845
_cell_length_b 4.845
_cell_length_c 4.845
_cell_angle_alpha 90.00
_cell_angle_beta 90.00
_cell_angle_gamma 90.00
loop_
_atom_site_label
_atom_site_fract_x
_atom_site_fract_y
_atom_site_fract_z
_atom_site_occupancy
Sc1 0.000 0.000 0.000 1
Cd1 0.500 0.500 0.500 1
Tc1 0.000 0.500 0.500 1
# **V**: 22.74 Å³ per atom
# **Energy relative to the elements**: 2.0698 eV per atom
# **D(E_F)**: 2.025 states/eV/atom
# **Total magnetic moment**: 3.8 μB/f.u.

***

No. 20
# Y3Tl3Ag | Alexandria via LeMat-Bulk | PBE | optimized geometry
data_Y3Tl3Ag
_chemical_formula_sum 'Y12 Tl12 Ag4'
_symmetry_space_group_name_H-M 'C 1 2/m 1'
_symmetry_Int_Tables_number 12
_symmetry_space_group_name_Hall '-C 2y'
_cell_length_a 11.393
_cell_length_b 4.630
_cell_length_c 15.186
_cell_angle_alpha 90.00
_cell_angle_beta 108.57
_cell_angle_gamma 90.00
loop_
_atom_site_label
_atom_site_fract_x
_atom_site_fract_y
_atom_site_fract_z
_atom_site_occupancy
Y1 0.033 0.000 0.382 1
Y2 0.101 0.000 0.923 1
Y3 0.229 0.000 0.226 1
Tl1 0.006 0.500 0.229 1
Tl2 0.125 0.500 0.075 1
Tl3 0.138 0.500 0.543 1
Ag1 0.237 0.500 0.378 1
# **V**: 27.12 Å³ per atom
# **Energy relative to the elements**: -0.3092 eV per atom
# **D(E_F)**: 0.674 states/eV/atom
# **Total magnetic moment**: 0.0 μB/f.u.